Fe3HgO: optimized geometry, GGA+U.

Structure (CIF):
```
data_Fe3HgO
_symmetry_space_group_name_H-M 'P m -3 m'
_symmetry_Int_Tables_number 221
_symmetry_space_group_name_Hall '-P 4 2 3'
_cell_length_a 5.094
_cell_length_b 5.094
_cell_length_c 5.094
_cell_angle_alpha 90.00
_cell_angle_beta 90.00
_cell_angle_gamma 90.00
loop_
_atom_site_label
_atom_site_fract_x
_atom_site_fract_y
_atom_site_fract_z
Fe1 0.000 0.000 0.500
Hg1 0.000 0.000 0.000
O1 0.500 0.500 0.500
```

Calculated volume ... 132.2 Å³ per cell
Total magnetic moment ... 12.7 Bohr magnetons per cell
DFT total energy ... -2.932 eV per atom